1.
Computed, not measured: an optimized crystal structure of Dy2MgAl3Ge2Pt at the PBE-GGA level of DFT.

a = 4.2064 Å, b = 6.8523 Å, c = 6.8523 Å
α = 119.10°, β = 90.00°, γ = 90.00°
Fractional positions:
Al  0.5000  0.7657  0.0037
Al  0.5000  0.2315  0.2315
Al  0.5000  0.0037  0.7657
Dy  0.0000  0.4201  0.0011
Dy  0.0000  0.0011  0.4201
Ge  0.5000  0.6630  0.3374
Ge  0.5000  0.3374  0.6630
Mg  0.0000  0.5920  0.5920
Pt  0.0000  0.9855  0.9855

raw total energy: -4.914 eV per atom

2.
Computed, not measured: an optimized crystal structure of Dy3Al3Ni2Ge at the PBE-GGA level of DFT.

a = 7.8896 Å, b = 7.8896 Å, c = 3.2675 Å
α = 90.00°, β = 90.00°, γ = 120.00°
Fractional positions:
Al  0.6239  0.0000  0.0000
Al  0.3761  0.3761  0.0000
Al  0.0000  0.6239  0.0000
Dy  0.3033  0.0000  0.5000
Dy  0.0000  0.3033  0.5000
Dy  0.6967  0.6967  0.5000
Ge  0.0000  0.0000  0.0000
Ni  0.6667  0.3333  0.5000
Ni  0.3333  0.6667  0.5000

raw total energy: -4.717 eV per atom

3.
Computed, not measured: an optimized crystal structure of Dy3Al3Ni2Ge at the PBE-GGA level of DFT.

a = 7.2480 Å, b = 7.2480 Å, c = 3.7956 Å
α = 90.00°, β = 90.00°, γ = 120.00°
Fractional positions:
Al  0.2655  0.0000  0.0000
Al  0.0000  0.2655  0.0000
Al  0.7345  0.7345  0.0000
Dy  0.5944  0.0000  0.5000
Dy  0.4056  0.4056  0.5000
Dy  0.0000  0.5944  0.5000
Ge  0.0000  0.0000  0.5000
Ni  0.6667  0.3333  0.0000
Ni  0.3333  0.6667  0.0000

raw total energy: -5.081 eV per atom

4.
Computed, not measured: an optimized crystal structure of Dy2TmAl3NiGe2 at the PBE-GGA level of DFT.

a = 4.1691 Å, b = 6.9147 Å, c = 6.9147 Å
α = 119.96°, β = 90.00°, γ = 90.00°
Fractional positions:
Al  0.5000  0.2294  0.0009
Al  0.5000  0.0009  0.2294
Al  0.5000  0.7705  0.7705
Dy  0.0000  0.9995  0.5964
Dy  0.0000  0.5964  0.9995
Ge  0.5000  0.6643  0.3340
Ge  0.5000  0.3340  0.6643
Ni  0.0000  0.0028  0.0028
Tm  0.0000  0.4023  0.4023

raw total energy: -5.159 eV per atom

5.
Computed, not measured: an optimized crystal structure of DyTm2Al3NiGe2 at the PBE-GGA level of DFT.

a = 4.1527 Å, b = 6.8946 Å, c = 6.8946 Å
α = 120.04°, β = 90.00°, γ = 90.00°
Fractional positions:
Al  0.5000  0.7708  0.0009
Al  0.5000  0.2291  0.2291
Al  0.5000  0.0009  0.7708
Dy  0.0000  0.5963  0.5963
Ge  0.5000  0.6672  0.3312
Ge  0.5000  0.3312  0.6672
Ni  0.0000  0.0025  0.0025
Tm  0.0000  0.9995  0.4025
Tm  0.0000  0.4025  0.9995

raw total energy: -5.143 eV per atom

6.
Computed, not measured: an optimized crystal structure of Dy2YAl3NiGe2 at the PBE-GGA level of DFT.

a = 4.1804 Å, b = 6.9452 Å, c = 6.9452 Å
α = 120.00°, β = 90.00°, γ = 90.00°
Fractional positions:
Al  0.5000  0.2290  0.0000
Al  0.5000  0.0000  0.2290
Al  0.5000  0.7711  0.7711
Dy  0.0000  0.5974  0.0000
Dy  0.0000  0.0000  0.5974
Ge  0.5000  0.6670  0.3332
Ge  0.5000  0.3332  0.6670
Ni  0.0000  0.9993  0.9993
Y  0.0000  0.4031  0.4031

raw total energy: -5.384 eV per atom